1.
Density functional theory data (GGA-PBE) for a relaxed LaGaNO2 crystal.

Its density of states at the Fermi level is 0.41 states/eV per atom. The value obtained for the total magnetization is 2.33 μB per formula unit. For the uncorrected formation energy, the calculation gives -0.437 eV per atom. The space group is P4/mmm (123).

POSCAR file:
```
LaGaNO2
1.0
4.510 0.000 0.000
0.000 4.510 0.000
0.000 0.000 5.044
N O Ga La
1 2 1 1
Direct
0.000 0.000 0.500
0.000 0.500 0.000
0.500 0.000 0.000
0.500 0.500 0.500
0.000 0.000 0.000
```


2.
Density functional theory data (GGA-PBE) for a relaxed K2CuCl3 crystal.

The value obtained for the total magnetization is 0.00 μB per formula unit. For the uncorrected formation energy, the calculation gives -1.383 eV per atom. The space group is Immm (71).

POSCAR file:
```
K2CuCl3
1.0
4.294 0.000 0.000
0.000 5.313 0.000
-2.147 -2.657 7.623
K Cu Cl
2 1 3
Direct
0.644 0.644 0.288
0.356 0.356 0.712
0.000 0.000 0.000
0.000 0.500 0.000
0.851 0.851 0.703
0.149 0.149 0.297
```


3.
Density functional theory data (GGA-PBE) for a relaxed Sr5AlAs8 crystal.

Its density of states at the Fermi level is 0.36 states/eV per atom. The value obtained for the total magnetization is 0.00 μB per formula unit. The space group is I-4 (82). The value obtained for the energy relative to the elements is -0.7431 eV/atom.

POSCAR file:
```
Sr5AlAs8
1.0
7.800 -0.237 -2.137
-4.591 6.310 -2.137
0.125 0.237 8.086
Sr Al As
5 1 8
Direct
0.923 0.351 0.927
0.649 0.576 0.572
0.424 0.996 0.073
0.500 0.500 0.000
0.004 0.077 0.428
0.250 0.750 0.500
0.961 0.777 0.063
0.223 0.286 0.184
0.433 0.720 0.305
0.280 0.585 0.713
0.872 0.567 0.287
0.102 0.039 0.816
0.714 0.898 0.937
0.415 0.128 0.695
```